Record 1
Here is crystalline PrY2Tl2Cd2 at its relaxed geometry from Alexandria via LeMat-Bulk. Energies are from GGA-PBE.

Unit cell a=5.0438 b=5.0438 c=26.6791 alpha=90.00 beta=90.00 gamma=120.00
With the nearest neighbours (Å) after each atom.
Space group R-3m (No. 166, hexagonal axes)
Inequivalent atoms, fractional coordinates:
Pr1 0.0000 0.0000 0.0000  6 Tl 3.41, 2 Y 3.57
Y1 0.0000 0.0000 0.1337  3 Cd 3.07, 3 Y 3.40, 3 Tl 3.42
Tl1 0.0000 0.0000 0.2671  3 Cd 3.03
Cd1 0.0000 0.0000 0.4311  3 Tl 3.03, 3 Y 3.07

***

Record 2
Here is crystalline PrZrTlCd at its relaxed geometry from Alexandria via LeMat-Bulk. Energies are from GGA-PBE.

Unit cell a=7.4627 b=7.4627 c=7.4627 alpha=90.00 beta=90.00 gamma=90.00
With the nearest neighbours (Å) after each atom.
Space group F-43m (No. 216)
Inequivalent atoms, fractional coordinates:
Pr1 0.0000 0.0000 0.0000  4 Cd 3.23, 4 Tl 3.23
Zr1 0.0000 0.0000 0.5000  4 Cd 3.23, 4 Tl 3.23
Tl1 0.2500 0.2500 0.2500  4 Zr 3.23, 4 Pr 3.23
Cd1 0.2500 0.2500 0.7500  4 Zr 3.23, 4 Pr 3.23

***

Record 3
Here is crystalline PrTm2Cd3 at its relaxed geometry from Alexandria via LeMat-Bulk. Energies are from GGA-PBE.

Unit cell a=3.7393 b=3.7393 c=11.4032 alpha=90.00 beta=90.00 gamma=90.00
With the nearest neighbours (Å) after each atom.
Space group P4/mmm (No. 123)
Inequivalent atoms, fractional coordinates:
Pr1 0.0000 0.0000 0.0000  8 Cd 3.38, 4 Pr 3.74
Tm1 0.0000 0.0000 0.3394  8 Cd 3.18-3.22
Cd1 0.5000 0.5000 0.1849  4 Tm 3.18, 4 Pr 3.38
Cd2 0.5000 0.5000 0.5000  8 Tm 3.22, 2 Cd 3.59

***

Record 4
Here is crystalline PrTm6Cd4 at its relaxed geometry from Alexandria via LeMat-Bulk. Energies are from GGA-PBE.

Unit cell a=8.4513 b=8.4513 c=5.1039 alpha=90.00 beta=90.00 gamma=120.00
With the nearest neighbours (Å) after each atom.
Space group P-6m2 (No. 187)
Inequivalent atoms, fractional coordinates:
Pr1 0.0000 0.0000 0.0000  12 Tm 3.80-4.25, 6 Cd 4.02
Tm1 0.1927 0.3853 0.5000  4 Cd 2.97-3.28
Tm2 0.5320 0.0641 0.0000  5 Cd 2.91-3.17
Cd1 0.3333 0.6667 0.0000  3 Tm 2.91
Cd2 0.4246 0.2123 0.5000  6 Tm 2.97-3.17, 2 Cd 3.07

***

Record 5
Here is crystalline PrTm2Cd2 at its relaxed geometry from Alexandria via LeMat-Bulk. Energies are from GGA-PBE.

Unit cell a=4.9753 b=4.9753 c=24.6003 alpha=90.00 beta=90.00 gamma=90.00
With the nearest neighbours (Å) after each atom.
Space group I4/mmm (No. 139)
Inequivalent atoms, fractional coordinates:
Pr1 0.0000 0.0000 0.1262  8 Tm 3.77-3.93, 8 Cd 3.79-3.98
Tm1 0.0000 0.0000 0.4292  5 Cd 2.78-3.04
Tm2 0.0000 0.5000 0.2500  4 Cd 2.97
Cd1 0.0000 0.0000 0.3162  5 Tm 2.78-2.97
Cd2 0.0000 0.5000 0.0000  4 Tm 3.04

***

Record 6
Here is crystalline Pr2TmCd at its relaxed geometry from Alexandria via LeMat-Bulk. Energies are from GGA-PBE.

Unit cell a=3.6596 b=3.6596 c=33.2007 alpha=90.00 beta=90.00 gamma=120.00
With the nearest neighbours (Å) after each atom.
Space group R3m (No. 160, hexagonal axes)
Inequivalent atoms, fractional coordinates:
Pr1 0.0000 0.0000 0.0000  3 Cd 3.40, 3 Tm 3.57, 6 Pr 3.66
Pr2 0.0000 0.0000 0.1732  3 Cd 3.39, 3 Tm 3.56, 6 Pr 3.66
Tm1 0.0000 0.0000 0.7535  6 Pr 3.56-3.57, 6 Tm 3.66
Cd1 0.0000 0.0000 0.5866  6 Pr 3.39-3.40, 6 Cd 3.66

***

Record 7
Here is crystalline Pr12Tm6Cd at its relaxed geometry from Alexandria via LeMat-Bulk. Energies are from GGA-PBE.

Unit cell a=13.2194 b=13.2194 c=12.9378 alpha=90.00 beta=90.00 gamma=120.00
With the nearest neighbours (Å) after each atom.
Space group R-3 (No. 148, hexagonal axes)
Inequivalent atoms, fractional coordinates:
Pr1 0.0004 0.2590 0.0002  1 Cd 3.42, 6 Pr 3.42-3.69, 4 Tm 3.42-3.53
Pr2 0.0593 0.5298 0.1106  3 Pr 3.17-3.46
Tm1 0.0887 0.1781 0.7725  4 Pr 3.42-3.53, 2 Tm 3.53, 1 Cd 3.58
Cd1 0.0000 0.0000 0.0000  6 Pr 3.42, 6 Tm 3.58

***

Record 8
Here is crystalline Pr6Tm2Cd at its relaxed geometry from Alexandria via LeMat-Bulk. Energies are from GGA-PBE.

Unit cell a=10.5581 b=10.5581 c=5.3908 alpha=90.00 beta=90.00 gamma=90.00
With the nearest neighbours (Å) after each atom.
Space group P4_2/mnm (No. 136)
Inequivalent atoms, fractional coordinates:
Pr1 0.0290 0.3242 0.0000  1 Cd 3.44, 3 Tm 3.48-3.50, 8 Pr 3.58-3.79
Pr2 0.1341 0.8659 0.5000  2 Cd 3.36, 2 Pr 3.58, 4 Tm 3.60-3.65
Tm1 0.2006 0.2006 0.5000  10 Pr 3.48-3.65
Cd1 0.0000 0.0000 0.0000  8 Pr 3.36-3.44

***

Record 9
Here is crystalline PrTmCd17 at its relaxed geometry from Alexandria via LeMat-Bulk. Energies are from GGA-PBE.

Unit cell a=10.0671 b=10.0671 c=15.0228 alpha=90.00 beta=90.00 gamma=120.00
With the nearest neighbours (Å) after each atom.
Space group R3m (No. 160, hexagonal axes)
Inequivalent atoms, fractional coordinates:
Pr1 0.0000 0.0000 0.0000  16 Cd 3.54-3.78
Tm1 0.0000 0.0000 0.6562  13 Cd 3.29-3.50
Cd1 0.0000 0.0000 0.2415  4 Cd 2.90-2.94
Cd2 0.0000 0.0000 0.4374  4 Cd 2.94-3.00, 1 Tm 3.29
Cd3 0.0035 0.3042 0.3317  8 Cd 2.92-3.25
Cd4 0.0211 0.5106 0.1885  7 Cd 2.87-3.02
Cd5 0.0332 0.5166 0.8250  9 Cd 2.90-3.11
Cd6 0.0597 0.5298 0.4822  6 Cd 2.87-3.11

***

Record 10
Here is crystalline Pr2TmCd at its relaxed geometry from Alexandria via LeMat-Bulk. Energies are from GGA-PBE.

Unit cell a=7.8824 b=7.8824 c=7.8824 alpha=90.00 beta=90.00 gamma=90.00
With the nearest neighbours (Å) after each atom.
Space group Fm-3m (No. 225)
Inequivalent atoms, fractional coordinates:
Pr1 0.2500 0.2500 0.2500  4 Tm 3.41, 4 Cd 3.41
Tm1 0.0000 0.0000 0.0000  8 Pr 3.41
Cd1 0.0000 0.0000 0.5000  8 Pr 3.41

***

Record 11
Here is crystalline PrTm3Cd2 at its relaxed geometry from Alexandria via LeMat-Bulk. Energies are from GGA-PBE.

Unit cell a=3.6644 b=3.6644 c=12.5127 alpha=90.00 beta=90.00 gamma=90.00
With the nearest neighbours (Å) after each atom.
Space group P4/mmm (No. 123)
Inequivalent atoms, fractional coordinates:
Pr1 0.0000 0.0000 0.0000  8 Tm 3.61, 4 Pr 3.66
Tm1 0.5000 0.5000 0.2006  4 Cd 3.20
Tm2 0.5000 0.5000 0.5000  8 Cd 3.19
Cd1 0.0000 0.0000 0.3509  8 Tm 3.19-3.20

***

Record 12
Here is crystalline PrTm2Cd at its relaxed geometry from Alexandria via LeMat-Bulk. Energies are from GGA-PBE.

Unit cell a=3.5789 b=3.5789 c=32.2858 alpha=90.00 beta=90.00 gamma=120.00
With the nearest neighbours (Å) after each atom.
Space group R-3m (No. 166, hexagonal axes)
Inequivalent atoms, fractional coordinates:
Pr1 0.0000 0.0000 0.0000  6 Pr 3.58, 6 Tm 3.58
Tm1 0.0000 0.0000 0.2426  3 Cd 3.21, 6 Tm 3.58, 3 Pr 3.58
Cd1 0.0000 0.0000 0.5000  6 Tm 3.21, 6 Cd 3.58

***

Record 13
Here is crystalline Pr2TmCd3 at its relaxed geometry from Alexandria via LeMat-Bulk. Energies are from GGA-PBE.

Unit cell a=3.7642 b=3.7642 c=11.8183 alpha=90.00 beta=90.00 gamma=90.00
With the nearest neighbours (Å) after each atom.
Space group P4/mmm (No. 123)
Inequivalent atoms, fractional coordinates:
Pr1 0.0000 0.0000 0.1738  8 Cd 3.36-3.39, 4 Pr 3.76
Tm1 0.0000 0.0000 0.5000  8 Cd 3.19
Cd1 0.5000 0.5000 0.0000  8 Pr 3.36, 4 Cd 3.76
Cd2 0.5000 0.5000 0.3515  4 Tm 3.19, 4 Pr 3.39, 1 Cd 3.51

***

Record 14
Here is crystalline PrTm2Cd2 at its relaxed geometry from Alexandria via LeMat-Bulk. Energies are from GGA-PBE.

Unit cell a=3.7205 b=5.4107 c=13.9307 alpha=90.00 beta=97.68 gamma=90.00
With the nearest neighbours (Å) after each atom.
Space group P2_1/m (No. 11)
Inequivalent atoms, fractional coordinates:
Pr1 0.1491 0.2500 0.2968  6 Cd 3.29-3.37, 4 Tm 3.64-3.68
Tm1 0.0467 0.7500 0.0935  8 Cd 3.18-3.28
Tm2 0.2366 0.7500 0.4735  2 Cd 3.22, 4 Tm 3.36
Cd1 0.3583 0.2500 0.7168  4 Tm 3.21-3.22, 4 Pr 3.29
Cd2 0.4533 0.7500 0.9066  6 Tm 3.18-3.28, 2 Pr 3.37

***

Record 15
Here is crystalline Pr3Tm2Cd6 at its relaxed geometry from Alexandria via LeMat-Bulk. Energies are from GGA-PBE.

Unit cell a=4.3694 b=4.3694 c=34.2418 alpha=90.00 beta=90.00 gamma=90.00
With the nearest neighbours (Å) after each atom.
Space group I4/mmm (No. 139)
Inequivalent atoms, fractional coordinates:
Pr1 0.0000 0.0000 0.0000  8 Cd 3.28
Pr2 0.0000 0.0000 0.1778  5 Cd 3.34-3.48, 4 Tm 3.44
Tm1 0.0000 0.0000 0.3662  5 Cd 3.05-3.11
Cd1 0.0000 0.0000 0.2754  1 Tm 3.11, 5 Pr 3.34-3.48
Cd2 0.0000 0.5000 0.0716  2 Tm 3.05, 4 Cd 3.09, 2 Pr 3.28

***

Record 16
Here is crystalline PrTm2Cd6 at its relaxed geometry from Alexandria via LeMat-Bulk. Energies are from GGA-PBE.

Unit cell a=8.6718 b=8.6718 c=3.4174 alpha=90.00 beta=90.00 gamma=120.00
With the nearest neighbours (Å) after each atom.
Space group P6/mmm (No. 191)
Inequivalent atoms, fractional coordinates:
Pr1 0.0000 0.0000 0.0000  12 Cd 3.39, 2 Pr 3.42
Tm1 0.3333 0.6667 0.0000  12 Cd 3.34, 2 Tm 3.42
Cd1 0.0000 0.3374 0.5000  3 Cd 2.82-2.93

***

Record 17
Here is crystalline PrTm4Cd at its relaxed geometry from Alexandria via LeMat-Bulk. Energies are from GGA-PBE.

Unit cell a=3.5573 b=3.5573 c=14.0452 alpha=90.00 beta=90.00 gamma=90.00
With the nearest neighbours (Å) after each atom.
Space group P4/mmm (No. 123)
Inequivalent atoms, fractional coordinates:
Pr1 0.0000 0.0000 0.0000  4 Pr 3.56, 8 Tm 3.58
Tm1 0.0000 0.0000 0.3551  4 Cd 3.24, 8 Tm 3.51-3.56
Tm2 0.5000 0.5000 0.1811  8 Tm 3.51-3.56, 4 Pr 3.58
Cd1 0.5000 0.5000 0.5000  8 Tm 3.24, 4 Cd 3.56

***

Record 18
Here is crystalline PrTm2Cd at its relaxed geometry from Alexandria via LeMat-Bulk. Energies are from GGA-PBE.

Unit cell a=4.8669 b=4.8669 c=4.8766 alpha=90.00 beta=90.00 gamma=90.00
With the nearest neighbours (Å) after each atom.
Space group P4/mmm (No. 123)
Inequivalent atoms, fractional coordinates:
Pr1 0.0000 0.0000 0.0000  4 Cd 3.44, 8 Tm 3.44
Tm1 0.0000 0.5000 0.5000  4 Tm 3.44, 4 Cd 3.44, 4 Pr 3.44
Cd1 0.5000 0.5000 0.0000  4 Pr 3.44, 8 Tm 3.44

***

Record 19
Here is crystalline Pr2TmCd3 at its relaxed geometry from Alexandria via LeMat-Bulk. Energies are from GGA-PBE.

Unit cell a=5.3994 b=5.3994 c=13.2988 alpha=90.00 beta=90.00 gamma=120.00
With the nearest neighbours (Å) after each atom.
Space group P-3m1 (No. 164)
Inequivalent atoms, fractional coordinates:
Pr1 0.0000 0.0000 0.0000  8 Cd 3.33-3.40
Pr2 0.0000 0.0000 0.5000  8 Cd 3.25-3.30
Pr3 0.3333 0.6667 0.1720  8 Cd 3.29-3.45
Tm1 0.3333 0.6667 0.6668  8 Cd 3.27-3.32
Cd1 0.0000 0.0000 0.2554  5 Pr 3.25-3.40, 3 Tm 3.28
Cd2 0.3333 0.6667 0.4192  4 Pr 3.29-3.30, 4 Tm 3.29-3.32
Cd3 0.3333 0.6667 0.9125  1 Tm 3.27, 7 Pr 3.31-3.45

***

Record 20
Here is crystalline PrTm4Cd at its relaxed geometry from Alexandria via LeMat-Bulk. Energies are from GGA-PBE.

Unit cell a=5.4472 b=14.9974 c=9.1516 alpha=90.00 beta=90.00 gamma=90.00
With the nearest neighbours (Å) after each atom.
Space group Cmc2_1 (No. 36)
Inequivalent atoms, fractional coordinates:
Pr1 0.0000 0.1271 0.0000  1 Cd 3.14, 5 Tm 3.25-3.37
Tm1 0.0000 0.0960 0.6366  2 Cd 3.08, 1 Pr 3.36
Tm2 0.0000 0.2582 0.3392  1 Cd 3.08, 4 Tm 3.32-3.36
Tm3 0.0000 0.3317 0.6819  1 Cd 3.17, 2 Pr 3.25, 4 Tm 3.32-3.36
Tm4 0.0000 0.4788 0.3686  1 Cd 3.14, 2 Tm 3.32, 2 Pr 3.37
Cd1 0.0000 0.3355 0.0279  5 Tm 3.08-3.17, 1 Pr 3.14

***

Number 1: DFT formation energy -0.188 eV per atom, calculated density 8.071 g cm⁻³. Number 2: DFT formation energy -0.130 eV per atom, calculated density 8.773 g cm⁻³. Number 3: DFT formation energy -0.309 eV per atom, calculated density 8.499 g cm⁻³. Number 4: DFT formation energy -0.092 eV per atom, calculated density 8.438 g cm⁻³. Number 5: DFT formation energy -0.024 eV per atom, calculated density 7.674 g cm⁻³. Number 6: DFT formation energy -0.042 eV per atom, calculated density 7.286 g cm⁻³. Number 7: DFT formation energy 0.118 eV per atom, calculated density 7.167 g cm⁻³. Number 8: DFT formation energy -0.011 eV per atom, calculated density 7.161 g cm⁻³. Number 9: DFT formation energy -0.120 eV per atom, calculated density 8.391 g cm⁻³. Number 10: DFT formation energy -0.060 eV per atom, calculated density 7.638 g cm⁻³. Number 11: DFT formation energy -0.199 eV per atom, calculated density 8.623 g cm⁻³. Number 12: DFT formation energy -0.075 eV per atom, calculated density 8.223 g cm⁻³. Number 13: DFT formation energy -0.308 eV per atom, calculated density 7.814 g cm⁻³. Number 14: DFT formation energy -0.239 eV per atom, calculated density 8.408 g cm⁻³. Number 15: DFT formation energy -0.009 eV per atom, calculated density 7.290 g cm⁻³. Number 16: DFT formation energy -0.303 eV per atom, calculated density 8.604 g cm⁻³. Number 17: DFT formation energy -0.081 eV per atom, calculated density 8.680 g cm⁻³. Number 18: DFT formation energy -0.085 eV per atom, calculated density 8.499 g cm⁻³. Number 19: DFT formation energy -0.305 eV per atom, calculated density 7.794 g cm⁻³. Number 20: DFT formation energy 0.158 eV per atom, calculated density 8.254 g cm⁻³.